No. 1
Compound: BaPrGaO4
Source: Alexandria via LeMat-Bulk
Functional: PBE
Structure: relaxed

Summary:
Total magnetic moment = 0.0 μB per cell
Space-group type = No. 11

Cell and atoms, written as POSCAR:
```
BaPrGaO4
1.0
5.898 0.000 0.000
0.000 5.949 0.000
-2.263 0.000 6.963
Ba Pr Ga O
2 2 2 8
Direct
0.209 0.250 0.428
0.791 0.750 0.572
0.299 0.250 0.958
0.701 0.750 0.042
0.246 0.750 0.178
0.754 0.250 0.822
0.043 0.750 0.927
0.051 0.750 0.334
0.468 0.514 0.211
0.468 0.986 0.211
0.532 0.014 0.789
0.532 0.486 0.789
0.949 0.250 0.666
0.957 0.250 0.073
```



No. 2
Compound: Ba3PrGa2O8
Source: Alexandria via LeMat-Bulk
Functional: PBE
Structure: relaxed

Summary:
Total magnetic moment = 1.1 μB per cell
Space-group type = No. 164

Cell and atoms, written as POSCAR:
```
Ba3PrGa2O8
1.0
6.133 0.000 0.000
-3.067 5.312 0.000
0.000 0.000 7.715
Ba Pr Ga O
3 1 2 8
Direct
0.000 0.000 0.000
0.333 0.667 0.657
0.667 0.333 0.343
0.000 0.000 0.500
0.333 0.667 0.213
0.667 0.333 0.787
0.172 0.345 0.310
0.172 0.828 0.310
0.333 0.667 0.977
0.345 0.172 0.690
0.655 0.828 0.310
0.667 0.333 0.023
0.828 0.172 0.690
0.828 0.655 0.690
```



Final energy list, top to bottom, in eV/atom: -6.8264; -6.3814